Entry 1:
Entry from the Open Quantum Materials Database: NdYFe2Co6B2 after structural relaxation (PBE).

Unit cell a=5.0997 b=5.0997 c=6.8046 alpha=90.00 beta=90.00 gamma=120.00
Site moments in Bohr magnetons follow the coordinates.
Sites, in units of the cell vectors:
1 B 0.6667 0.3333 0.5000  -0.05
2 B 0.3333 0.6667 0.5000  -0.05
3 Fe 0.3333 0.6667 0.0000  2.62
4 Fe 0.6667 0.3333 0.0000  2.62
5 Nd 0.0000 0.0000 0.0000  -0.14
6 Co 0.5000 0.5000 0.7087  0.75
7 Co 0.5000 0.0000 0.7087  0.70
8 Co 0.5000 0.0000 0.2913  0.70
9 Co 0.5000 0.5000 0.2913  0.75
10 Co 0.0000 0.5000 0.7087  0.71
11 Co 0.0000 0.5000 0.2913  0.71
12 Y 0.0000 0.0000 0.5000  -0.17

## Properties
Relative energy among the computed polymorphs = 0 meV/atom
Symmetry = P6/mmm
Total moment = 0.734 μB/atom
Volume = 12.77 Å³/atom


Entry 2:
Entry from the Open Quantum Materials Database: LiDyNiS3 after structural relaxation (PBE).

Unit cell a=6.2576 b=6.2576 c=10.2833 alpha=90.00 beta=90.00 gamma=34.99
Site moments in Bohr magnetons follow the coordinates.
Sites, in units of the cell vectors:
1 S 0.3569 0.3569 0.0905  0.10
2 S 0.3569 0.3569 0.4095  0.10
3 S 0.0886 0.0886 0.2500  0.12
4 S 0.6431 0.6431 0.5905  0.11
5 S 0.9114 0.9114 0.7500  0.12
6 S 0.6431 0.6431 0.9095  0.11
7 Dy 0.0000 0.0000 0.5000  0.03
8 Dy 0.0000 0.0000 0.0000  0.03
9 Ni 0.5124 0.5124 0.7500  0.79
10 Ni 0.4876 0.4876 0.2500  0.79
11 Li 0.7709 0.7709 0.2500  0.00
12 Li 0.2291 0.2291 0.7500  0.00

## Properties
Symmetry = Cmcm
Total moment = 0.230 μB/atom
Total DFT energy (no corrections) = -5.26 eV/atom
Volume = 19.24 Å³/atom


Entry 3:
Entry from the Open Quantum Materials Database: Rb2CuNiBr6 after structural relaxation (PBE).

Unit cell a=7.2940 b=7.2940 c=7.2940 alpha=60.00 beta=60.00 gamma=60.00
Site moments in Bohr magnetons follow the coordinates.
Sites, in units of the cell vectors:
1 Br 0.2546 0.7454 0.2546  0.01
2 Br 0.7454 0.2546 0.7454  0.01
3 Br 0.7454 0.7454 0.2546  0.03
4 Br 0.2546 0.7454 0.7454  0.00
5 Br 0.2546 0.2546 0.7454  0.03
6 Br 0.7454 0.2546 0.2546  0.00
7 Rb 0.7500 0.7500 0.7500  0.00
8 Rb 0.2500 0.2500 0.2500  0.00
9 Cu 0.0000 0.0000 0.0000  -0.06
10 Ni 0.5000 0.5000 0.5000  0.68

## Properties
Symmetry = Fm-3m
Total moment = 0.074 μB/atom
Total DFT energy (no corrections) = -2.99 eV/atom
Volume = 27.44 Å³/atom


Entry 4:
Entry from the Open Quantum Materials Database: Nd2ErCu4Ge4 after structural relaxation (PBE).

Unit cell a=8.1446 b=8.1446 c=8.1446 alpha=149.29 beta=131.73 gamma=58.31
Sites, in units of the cell vectors:
1 Cu 0.3527 0.6664 0.6863
2 Cu 0.9800 0.6664 0.3137
3 Cu 0.0200 0.3336 0.6863
4 Cu 0.6473 0.3336 0.3137
5 Er 0.0000 0.0000 0.0000
6 Ge 0.2143 0.2143 0.0000
7 Ge 0.6952 0.5000 0.1952
8 Ge 0.7857 0.7857 0.0000
9 Ge 0.3048 0.5000 0.8048
10 Nd 0.6318 0.1318 0.5000
11 Nd 0.3682 0.8682 0.5000

## Properties
Symmetry = Immm
Total moment = 0.000 μB/atom
Total DFT energy (no corrections) = -4.92 eV/atom
Volume = 18.58 Å³/atom


Entry 5:
Entry from the Open Quantum Materials Database: Sc2BeRe after structural relaxation (PBE).

Unit cell a=4.4963 b=4.4963 c=4.4963 alpha=60.00 beta=60.00 gamma=60.00
Site moments in Bohr magnetons follow the coordinates.
Sites, in units of the cell vectors:
1 Sc 0.0000 0.0000 0.0000  0.05
2 Sc 0.7500 0.7500 0.7500  0.03
3 Be 0.5000 0.5000 0.5000  0.00
4 Re 0.2500 0.2500 0.2500  0.07

## Properties
Symmetry = F-43m
Total moment = 0.054 μB/atom
Total DFT energy (no corrections) = -6.98 eV/atom
Volume = 16.07 Å³/atom


Entry 6:
Entry from the Open Quantum Materials Database: Tm3Al3IrAu2 after structural relaxation (PBE).

Unit cell a=7.2510 b=7.2510 c=3.9662 alpha=90.00 beta=90.00 gamma=120.00
Sites, in units of the cell vectors:
1 Tm 0.0000 0.4060 0.0000
2 Tm 0.5940 0.5940 0.0000
3 Tm 0.4060 0.0000 0.0000
4 Al 0.2352 0.2352 0.5000
5 Al 0.7648 0.0000 0.5000
6 Al 0.0000 0.7648 0.5000
7 Au 0.6667 0.3333 0.5000
8 Au 0.3333 0.6667 0.5000
9 Ir 0.0000 0.0000 0.0000

## Properties
Symmetry = P-62m
Total moment = 0.003 μB/atom
Total DFT energy (no corrections) = -5.32 eV/atom
Volume = 20.07 Å³/atom


Entry 7:
Entry from the Open Quantum Materials Database: RbGdFeS3 after structural relaxation (PBE).

Unit cell a=4.1581 b=10.8303 c=12.6536 alpha=90.00 beta=90.00 gamma=90.00
Site moments in Bohr magnetons follow the coordinates.
Sites, in units of the cell vectors:
1 S 0.7500 0.0998 0.4280  0.09
2 S 0.7500 0.7816 0.7967  0.14
3 S 0.7500 0.4449 0.3265  0.12
4 S 0.2500 0.2184 0.2033  0.14
5 S 0.2500 0.7184 0.2967  0.14
6 S 0.7500 0.2816 0.7033  0.14
7 S 0.2500 0.9002 0.5720  0.09
8 S 0.2500 0.5551 0.6735  0.12
9 S 0.7500 0.9449 0.1735  0.12
10 S 0.7500 0.5998 0.0720  0.09
11 S 0.2500 0.0551 0.8265  0.12
12 S 0.2500 0.4002 0.9280  0.09
13 Gd 0.7500 0.5153 0.8175  0.00
14 Gd 0.2500 0.9847 0.3175  0.00
15 Gd 0.7500 0.0153 0.6825  0.00
16 Gd 0.2500 0.4847 0.1825  0.00
17 Rb 0.7500 0.6736 0.4945  0.01
18 Rb 0.2500 0.8264 0.9945  0.01
19 Rb 0.7500 0.1736 0.0055  0.01
20 Rb 0.2500 0.3264 0.5055  0.01
21 Fe 0.2500 0.7600 0.7113  3.23
22 Fe 0.7500 0.7400 0.2113  3.23
23 Fe 0.2500 0.2600 0.7887  3.23
24 Fe 0.7500 0.2400 0.2887  3.23

## Properties
Relative energy among the computed polymorphs = 77 meV/atom
Symmetry = Pnma
Total moment = 0.667 μB/atom
Volume = 23.74 Å³/atom


Entry 8:
Entry from the Open Quantum Materials Database: GdBSb after structural relaxation (PBE).

Unit cell a=4.4917 b=4.4917 c=4.4917 alpha=60.00 beta=60.00 gamma=60.00
Sites, in units of the cell vectors:
1 B 0.0000 0.0000 0.0000
2 Sb 0.7500 0.7500 0.7500
3 Gd 0.2500 0.2500 0.2500

## Properties
Symmetry = F-43m
Total moment = 0.003 μB/atom
Total DFT energy (no corrections) = -4.94 eV/atom
Volume = 21.36 Å³/atom


Entry 9:
Entry from the Open Quantum Materials Database: BeCuMoPb after structural relaxation (PBE).

Unit cell a=4.4778 b=4.4778 c=4.4778 alpha=60.00 beta=60.00 gamma=60.00
Sites, in units of the cell vectors:
1 Cu 0.7500 0.7500 0.7500
2 Pb 0.0000 0.0000 0.0000
3 Be 0.5000 0.5000 0.5000
4 Mo 0.2500 0.2500 0.2500

## Properties
Relative energy among the computed polymorphs = 0 meV/atom
Symmetry = F-43m
Total moment = 0.074 μB/atom
Volume = 15.87 Å³/atom


Entry 10:
Entry from the Open Quantum Materials Database: ZnGa2Pb after structural relaxation (PBE).

Unit cell a=4.9844 b=4.9844 c=4.9844 alpha=60.00 beta=60.00 gamma=60.00
Sites, in units of the cell vectors:
1 Ga 0.0000 0.0000 0.0000
2 Ga 0.7500 0.7500 0.7500
3 Pb 0.5000 0.5000 0.5000
4 Zn 0.2500 0.2500 0.2500

## Properties
Symmetry = F-43m
Total DFT energy (no corrections) = -2.61 eV/atom
Volume = 21.89 Å³/atom


Entry 11:
Entry from the Open Quantum Materials Database: NbSiIr after structural relaxation (PBE).

Unit cell a=6.4588 b=3.8208 c=7.3296 alpha=90.00 beta=90.00 gamma=90.00
Sites, in units of the cell vectors:
1 Nb 0.4759 0.2500 0.1724
2 Nb 0.0241 0.7500 0.6724
3 Nb 0.5241 0.7500 0.8276
4 Nb 0.9759 0.2500 0.3276
5 Si 0.7693 0.7500 0.1247
6 Si 0.2307 0.2500 0.8753
7 Si 0.2693 0.7500 0.3753
8 Si 0.7307 0.2500 0.6247
9 Ir 0.1456 0.7500 0.0631
10 Ir 0.8544 0.2500 0.9369
11 Ir 0.3544 0.2500 0.5631
12 Ir 0.6456 0.7500 0.4369

## Properties
Symmetry = Pnma
Total moment = 0.000 μB/atom
Total DFT energy (no corrections) = -8.98 eV/atom
Volume = 15.07 Å³/atom


Entry 12:
Entry from the Open Quantum Materials Database: SmS2I2 after structural relaxation (PBE).

Unit cell a=8.0720 b=8.0724 c=8.2608 alpha=99.58 beta=98.68 gamma=119.06
Sites, in units of the cell vectors:
1 Sm 0.8320 0.1680 0.0000
2 Sm 0.1680 0.8320 0.0000
3 I 0.0224 0.5778 0.2574
4 I 0.5751 0.0251 0.2573
5 I 0.4249 0.9749 0.7427
6 I 0.9776 0.4222 0.7426
7 S 0.2192 0.2197 0.0514
8 S 0.0888 0.0911 0.2187
9 S 0.7808 0.7803 0.9486
10 S 0.9112 0.9089 0.7813

## Properties
Symmetry = P-1
Total moment = 0.001 μB/atom
Total DFT energy (no corrections) = -4.29 eV/atom
Volume = 44.69 Å³/atom


Entry 13:
Entry from the Open Quantum Materials Database: NdPbNO after structural relaxation (PBE).

Unit cell a=4.3559 b=4.3559 c=8.0374 alpha=90.00 beta=90.00 gamma=90.00
Sites, in units of the cell vectors:
1 O 0.2500 0.7500 0.0000
2 O 0.7500 0.2500 0.0000
3 Nd 0.7500 0.7500 0.8760
4 Nd 0.2500 0.2500 0.1240
5 N 0.7500 0.7500 0.3384
6 N 0.2500 0.2500 0.6616
7 Pb 0.2500 0.7500 0.5000
8 Pb 0.7500 0.2500 0.5000

## Properties
Relative energy among the computed polymorphs = 323 meV/atom
Symmetry = P4/nmm
Total moment = 0.000 μB/atom
Volume = 19.06 Å³/atom


Entry 14:
Entry from the Open Quantum Materials Database: Pm2Al5Au3 after structural relaxation (PBE).

Unit cell a=8.6829 b=8.6829 c=8.6829 alpha=103.31 beta=91.35 gamma=138.26
Sites, in units of the cell vectors:
1 Pm 0.1300 0.7385 0.8685
2 Pm 0.6300 0.7615 0.3914
3 Pm 0.8700 0.2615 0.1315
4 Pm 0.3700 0.2385 0.6086
5 Al 0.0116 0.2500 0.7616
6 Al 0.8876 0.8537 0.7413
7 Al 0.3876 0.6463 0.0339
8 Al 0.5116 0.7500 0.7616
9 Al 0.7500 0.2500 0.5000
10 Al 0.4884 0.2500 0.2384
11 Al 0.1124 0.1463 0.2587
12 Al 0.6124 0.3537 0.9661
13 Al 0.2500 0.7500 0.5000
14 Al 0.9884 0.7500 0.2384
15 Au 0.2500 0.2500 0.0000
16 Au 0.1306 0.3766 0.5071
17 Au 0.6306 0.1234 0.7540
18 Au 0.8694 0.6234 0.4929
19 Au 0.7500 0.7500 0.0000
20 Au 0.3694 0.8766 0.2460

## Properties
Symmetry = Ibam
Total moment = 0.000 μB/atom
Total DFT energy (no corrections) = -4.50 eV/atom
Volume = 20.22 Å³/atom


Entry 15:
Entry from the Open Quantum Materials Database: Ag10Ge after structural relaxation (PBE).

Unit cell a=5.0341 b=5.0341 c=35.1550 alpha=90.23 beta=90.23 gamma=48.23
Sites, in units of the cell vectors:
1 Ag 0.8494 0.8494 0.2413
2 Ag 0.1499 0.1499 0.4864
3 Ag 0.2504 0.2504 0.2991
4 Ag 0.9506 0.9506 0.3247
5 Ag 0.6504 0.6504 0.6211
6 Ag 0.1506 0.1506 0.7587
7 Ag 0.4525 0.4525 0.7308
8 Ag 0.0489 0.0489 0.4060
9 Ag 0.4492 0.4492 0.4598
10 Ag 0.0494 0.0494 0.6753
11 Ag 0.9511 0.9511 0.5940
12 Ag 0.6489 0.6489 0.3524
13 Ag 0.5508 0.5508 0.5402
14 Ag 0.3511 0.3511 0.6476
15 Ag 0.8501 0.8501 0.5136
16 Ag 0.7495 0.7495 0.4328
17 Ag 0.7496 0.7496 0.7009
18 Ag 0.2505 0.2505 0.5672
19 Ag 0.3496 0.3496 0.3789
20 Ag 0.5475 0.5475 0.2692
21 Ge 0.1524 0.1524 0.2249
22 Ge 0.8476 0.8476 0.7751

## Properties
Symmetry = C2/m
Total DFT energy (no corrections) = -2.89 eV/atom
Volume = 30.20 Å³/atom


Entry 16:
Entry from the Open Quantum Materials Database: NiSb2Pt after structural relaxation (PBE).

Unit cell a=3.5734 b=3.5734 c=7.1268 alpha=90.00 beta=90.00 gamma=120.00
Sites, in units of the cell vectors:
1 Sb 0.6667 0.3333 0.2388
2 Sb 0.6667 0.3333 0.7612
3 Pt 0.0000 0.0000 0.5000
4 Ni 0.3333 0.6667 0.0000

## Properties
Relative energy among the computed polymorphs = 0 meV/atom
Symmetry = P-6m2
Total moment = 0.001 μB/atom
Volume = 19.70 Å³/atom


Entry 17:
Entry from the Open Quantum Materials Database: LiTcAgTeSe2 after structural relaxation (PBE).

Unit cell a=7.0337 b=7.0337 c=10.3749 alpha=90.00 beta=90.00 gamma=150.01
Site moments in Bohr magnetons follow the coordinates.
Sites, in units of the cell vectors:
1 Li 0.2739 0.7261 0.7500  0.01
2 Li 0.7261 0.2739 0.2500  0.01
3 Ag 0.0622 0.9378 0.2500  0.05
4 Ag 0.9378 0.0622 0.7500  0.05
5 Te 0.5969 0.4031 0.7500  -0.03
6 Te 0.4031 0.5969 0.2500  -0.03
7 Se 0.1350 0.8650 0.4738  0.06
8 Se 0.8650 0.1350 0.5262  0.06
9 Se 0.8650 0.1350 0.9738  0.06
10 Se 0.1350 0.8650 0.0262  0.06
11 Tc 0.5000 0.5000 0.0000  1.73
12 Tc 0.5000 0.5000 0.5000  1.75

## Properties
Symmetry = Cmcm
Total moment = 0.360 μB/atom
Total DFT energy (no corrections) = -4.41 eV/atom
Volume = 21.38 Å³/atom


Entry 18:
Entry from the Open Quantum Materials Database: LuSiHO4 after structural relaxation (PBE).

Unit cell a=9.1251 b=9.1251 c=9.1251 alpha=112.65 beta=112.65 gamma=112.65
Sites, in units of the cell vectors:
1 Si 0.7376 0.6524 0.3006
2 Si 0.6994 0.2624 0.3476
3 Si 0.3007 0.7376 0.6524
4 Si 0.6524 0.3006 0.7376
5 Si 0.3476 0.6994 0.2624
6 Si 0.2624 0.3476 0.6994
7 O 0.4514 0.1650 0.2225
8 O 0.8521 0.4914 0.5550
9 O 0.8987 0.6271 0.2853
10 O 0.8464 0.2975 0.7914
11 O 0.2086 0.1536 0.7025
12 O 0.7025 0.2086 0.1536
13 O 0.5550 0.8521 0.4914
14 O 0.8350 0.7775 0.5486
15 O 0.4450 0.1479 0.5086
16 O 0.1013 0.3729 0.7147
17 O 0.5486 0.8350 0.7775
18 O 0.2975 0.7914 0.8464
19 O 0.7147 0.1013 0.3729
20 O 0.7775 0.5486 0.8350
21 O 0.5086 0.4450 0.1479
22 O 0.1479 0.5086 0.4450
23 O 0.2225 0.4514 0.1650
24 O 0.3729 0.7147 0.1013
25 O 0.4914 0.5550 0.8521
26 O 0.7914 0.8464 0.2975
27 O 0.1650 0.2225 0.4514
28 O 0.6271 0.2853 0.8987
29 O 0.2853 0.8987 0.6271
30 O 0.1536 0.7025 0.2086
31 Lu 0.8520 0.0657 0.5872
32 Lu 0.9343 0.4128 0.1480
33 Lu 0.4128 0.1480 0.9343
34 Lu 0.5872 0.8520 0.0657
35 Lu 0.1480 0.9343 0.4128
36 Lu 0.0657 0.5872 0.8520
37 H 0.1619 0.3160 0.4200
38 H 0.6840 0.5800 0.8381
39 H 0.3160 0.4200 0.1619
40 H 0.5800 0.8381 0.6840
41 H 0.4200 0.1619 0.3160
42 H 0.8381 0.6840 0.5800

## Properties
Relative energy among the computed polymorphs = 96 meV/atom
Symmetry = R-3
Total moment = 0.000 μB/atom
Volume = 12.01 Å³/atom


Entry 19:
Entry from the Open Quantum Materials Database: OsOF2 after structural relaxation (PBE).

Unit cell a=12.9396 b=13.3267 c=3.1776 alpha=90.00 beta=90.00 gamma=90.00
Sites, in units of the cell vectors:
1 F 0.5706 0.0657 0.0000
2 F 0.3018 0.8410 0.5000
3 F 0.9294 0.5657 0.0000
4 F 0.5703 0.8945 0.5000
5 F 0.0706 0.4343 0.0000
6 F 0.3858 0.3980 0.5000
7 F 0.9297 0.3945 0.5000
8 F 0.1982 0.3410 0.5000
9 F 0.4346 0.5683 0.5000
10 F 0.4764 0.7233 0.0000
11 F 0.0703 0.6055 0.5000
12 F 0.5654 0.4317 0.5000
13 F 0.8858 0.1020 0.5000
14 F 0.6982 0.1590 0.5000
15 F 0.0654 0.0683 0.5000
16 F 0.1142 0.8980 0.5000
17 F 0.4297 0.1055 0.5000
18 F 0.8018 0.6590 0.5000
19 F 0.6142 0.6020 0.5000
20 F 0.4294 0.9343 0.0000
21 F 0.5236 0.2767 0.0000
22 F 0.0236 0.2233 0.0000
23 F 0.9346 0.9317 0.5000
24 F 0.9764 0.7767 0.0000
25 Os 0.3414 0.9773 0.5000
26 Os 0.9066 0.2424 0.5000
27 Os 0.4066 0.2576 0.5000
28 Os 0.5934 0.7424 0.5000
29 Os 0.0934 0.7576 0.5000
30 Os 0.8472 0.8842 0.0000
31 Os 0.6586 0.0227 0.5000
32 Os 0.3472 0.6158 0.0000
33 Os 0.8414 0.5227 0.5000
34 Os 0.6528 0.3842 0.0000
35 Os 0.1528 0.1158 0.0000
36 Os 0.1586 0.4773 0.5000
37 O 0.1673 0.7391 0.0000
38 O 0.8327 0.2609 0.0000
39 O 0.2656 0.0188 0.0000
40 O 0.6673 0.7609 0.0000
41 O 0.2826 0.6567 0.5000
42 O 0.7826 0.8433 0.5000
43 O 0.7174 0.3433 0.5000
44 O 0.3327 0.2391 0.0000
45 O 0.7344 0.9812 0.0000
46 O 0.7656 0.4812 0.0000
47 O 0.2174 0.1567 0.5000
48 O 0.2344 0.5188 0.0000

## Properties
Relative energy among the computed polymorphs = 236 meV/atom
Symmetry = Pbam
Total moment = 0.026 μB/atom
Volume = 11.42 Å³/atom